Below is a relaxed BaCuIr2 crystal, with properties calculated at the PBE-GGA level.

```
4
Lattice="0.0000 3.3812 3.3812 3.3812 0.0000 3.3812 3.3812 3.3812 0.0000" Properties=species:S:1:pos:R:3 pbc="T T T"
Ir 0.0000 0.0000 0.0000
Ir 5.0717 5.0717 5.0717
Ba 3.3812 3.3812 3.3812
Cu 1.6906 1.6906 1.6906
```

Results
energy = -0.372 Ry/atom



Below is a relaxed Lu2PbSe4 crystal, with properties calculated at the PBE-GGA level.

```
28
Lattice="12.5268 0.0000 0.0000 0.0000 4.0613 0.0000 0.0000 0.0000 14.7405" Properties=species:S:1:pos:R:3 pbc="T T T"
Se 8.8345 1.0153 4.9059
Se 3.6923 3.0460 9.8346
Se 5.8979 3.0460 3.1744
Se 2.5711 1.0153 2.4644
Se 9.9557 3.0460 12.2761
Se 7.8579 1.0153 0.4568
Se 10.9324 3.0460 7.8270
Se 1.1317 3.0460 13.6324
Se 11.3952 1.0153 1.1081
Se 4.6689 3.0460 14.2837
Se 7.3951 3.0460 8.4784
Se 1.5945 1.0153 6.9135
Se 12.1613 3.0460 4.1958
Se 6.6290 1.0153 11.5661
Se 5.1317 1.0153 6.2622
Se 0.3656 1.0153 10.5447
Pb 3.0147 3.0460 4.8988
Pb 9.5122 1.0153 9.8417
Pb 3.2487 1.0153 12.2691
Pb 9.2781 3.0460 2.4714
Lu 0.7522 3.0460 1.6496
Lu 11.4825 1.0153 5.9429
Lu 5.2191 1.0153 1.4273
Lu 7.0156 3.0460 5.7207
Lu 5.5112 1.0153 9.0198
Lu 11.7747 1.0153 13.0909
Lu 1.0444 3.0460 8.7976
Lu 7.3078 3.0460 13.3132
```

Results
energy = -0.388 Ry/atom



Below is a relaxed Sr3Zn3TeP2O14 crystal, with properties calculated at the PBE-GGA level.

```
23
Lattice="8.2623 0.0000 0.0000 -4.1312 7.1554 0.0000 0.0000 0.0000 5.1936" Properties=species:S:1:pos:R:3 pbc="T T T"
P 0.0000 4.7703 2.8543
P 4.1312 2.3851 2.3393
O 2.7116 2.2333 1.7194
O 4.9724 1.2317 1.7194
O 0.5783 3.4650 3.4741
O 2.8289 6.2110 1.0917
O 0.0000 4.7703 1.3150
O 4.7095 3.6904 1.7194
O 1.4690 0.6556 4.1019
O -1.4195 4.9221 3.4741
O -0.1668 1.6000 1.0917
O 3.9644 5.5554 4.1019
O 6.9601 0.9444 4.1019
O 4.1312 2.3851 3.8786
O -2.6622 6.4998 1.0917
O 0.8412 5.9237 3.4741
Zn -3.1548 5.4642 2.5968
Zn 6.3095 0.0000 2.5968
Zn 0.9764 1.6912 2.5968
Sr 3.5852 0.0000 0.0000
Sr 2.3386 4.0505 0.0000
Sr -1.7926 3.1048 0.0000
Te 0.0000 0.0000 0.0000
```

Results
energy = -0.457 Ry/atom



Below is a relaxed TbUBr3N crystal, with properties calculated at the PBE-GGA level.

```
12
Lattice="9.0864 -1.9248 0.0000 9.0864 1.9248 0.0000 -6.5576 0.0000 9.5736" Properties=species:S:1:pos:R:3 pbc="T T T"
Br -4.1401 0.0000 7.1273
Br 8.3970 0.0000 8.4260
Br 8.7274 0.0000 4.8905
Br 3.2181 0.0000 1.1476
Br 2.8877 0.0000 4.6832
Br 15.7552 0.0000 2.4463
N 9.4504 0.0000 1.5272
N 2.1648 0.0000 8.0464
U 11.0132 0.0000 6.8976
U 0.6019 0.0000 2.6761
Tb 7.4430 0.0000 0.3882
Tb 4.1721 0.0000 9.1854
```

Results
energy = -0.472 Ry/atom



Below is a relaxed PaTlAgS3 crystal, with properties calculated at the PBE-GGA level.

```
12
Lattice="3.4030 6.4311 -1.0494 -3.8816 -4.3117 4.5148 8.9912 -4.1416 3.7749" Properties=species:S:1:pos:R:3 pbc="T T T"
S -0.8550 -0.4389 2.5643
S 5.4824 0.2064 3.0449
S -1.2121 -4.7251 5.1364
S 9.7246 2.7029 2.1039
S 9.3675 -1.5832 4.6761
S 3.0301 -2.2285 4.1954
Tl 4.7840 -4.5831 5.8777
Tl 3.7285 2.5609 1.3626
Ag 1.5812 -0.6057 3.0028
Ag 6.9313 -1.4164 4.2375
Pa 0.0000 0.0000 0.0000
Pa 4.4956 -2.0708 1.8875
```

Results
energy = -0.402 Ry/atom



Below is a relaxed SrAu2C4 crystal, with properties calculated at the PBE-GGA level.

```
7
Lattice="5.9371 0.0000 0.0000 0.0000 5.9371 0.0000 0.0000 0.0000 4.5064" Properties=species:S:1:pos:R:3 pbc="T T T"
Au 2.9686 0.0000 0.0000
Au 0.0000 2.9686 0.0000
C 3.6946 2.2426 4.3195
C 2.2426 3.6946 4.3195
C 3.6946 3.6946 0.1869
C 2.2426 2.2426 0.1869
Sr 0.0000 0.0000 0.0000
```

Results
energy = -0.356 Ry/atom